# Cs2FeCoCl6

A relaxed structure of Cs2FeCoCl6 (PBE, Alexandria).

Cell lengths 7.1218, 7.1218, 10.0500 Å; angles 90.00, 90.00, 90.00 degrees
Space group I4/mmm (No. 139)
Asymmetric unit:
Cs 0.0000 0.5000 0.2500 x4
Fe 0.0000 0.0000 0.0000 x2
Co 0.0000 0.0000 0.5000 x2
Cl 0.0000 0.0000 0.2494 x4
Cl 0.2482 0.2482 0.0000 x8

***

# CsFeCoCl6

A relaxed structure of CsFeCoCl6 (PBE, Alexandria).

Cell lengths 6.3833, 11.0410, 7.7975 Å; angles 90.00, 90.27, 90.00 degrees
Space group C2 (No. 5)
Asymmetric unit:
Cs 0.0000 0.0000 0.0000 x2
Fe 0.0000 0.3335 0.5000 x2
Co 0.0000 0.6675 0.5000 x2
Cl 0.1148 0.4998 0.6790 x4
Cl 0.1890 0.1908 0.6770 x4
Cl 0.1896 0.8106 0.6760 x4

***

# CsFe2CoCl8

A relaxed structure of CsFe2CoCl8 (PBE, Alexandria).

Cell lengths 10.5232, 7.0325, 9.9005 Å; angles 90.00, 97.99, 90.00 degrees
Space group C2/m (No. 12)
Asymmetric unit:
Cs 0.0000 0.0000 0.0000 x2
Fe 0.1152 0.5000 0.3089 x4
Co 0.0000 0.0000 0.5000 x2
Cl 0.0143 0.2433 0.6816 x8
Cl 0.1777 0.5000 0.1042 x4
Cl 0.2296 0.0000 0.5135 x4

***

Number 1: spin magnetization 7.0 μB per formula unit, E_form (uncorrected) -1.131 eV/atom. Number 2: spin magnetization 8.0 μB per formula unit, E_form (uncorrected) -0.970 eV/atom. Number 3: spin magnetization 12.0 μB per formula unit, E_form (uncorrected) -0.932 eV/atom.